Computed, not measured: crystalline ThTlGa4 at its relaxed geometry at the PBE level of DFT.

Formation energy from the elements (eV/atom): -0.16
Mass density (g/cm3): 9.13
Energy (eV per atom): -3.805

Cell: 8.042 8.042 8.042 Å, 90.00 90.00 90.00°
Space group F-43m (No. 216)
Inequivalent atoms, fractional coordinates:
Th1 0.000 0.000 0.000 x4
Tl1 0.250 0.250 0.250 x4
Ga1 0.125 0.125 0.625 x16